1.
Ca2SnAu3 after structural relaxation. Source: Alexandria, functional PBE.

## Properties
ΔE_f: -360 kJ/mol of formula units
Calculated density: 8.53 g/cm3

Cell: 4.307 3.912 9.573 Å, 101.79 103.00 90.00°
Fractional positions:
Ca 0.136 0.136 0.271
Ca 0.852 0.352 0.704
Sn 0.453 0.953 0.906
Au 0.705 0.705 0.409
Au 0.556 0.556 0.111
Au 0.299 0.799 0.598



2.
CaSn3Au after structural relaxation. Source: Alexandria, functional PBE.

## Properties
ΔE_f: -162 kJ/mol of formula units
Calculated density: 7.09 g/cm3

Cell: 4.587 4.670 13.169 Å, 100.21 90.00 90.00°
Fractional positions:
Ca 0.500 0.835 0.670
Ca 0.500 0.165 0.330
Sn 0.000 0.057 0.113
Sn 0.000 0.943 0.887
Sn 0.000 0.280 0.560
Sn 0.000 0.720 0.440
Sn 0.500 0.444 0.887
Sn 0.500 0.556 0.113
Au 0.000 0.618 0.237
Au 0.000 0.382 0.763



3.
CaSnAu6 after structural relaxation. Source: Alexandria, functional PBE.

## Properties
Energy above the lowest structure with this stoichiometry: 35 meV/atom
ΔE_f: -213 kJ/mol of formula units
Calculated density: 13.66 g/cm3

Cell: 5.462 5.462 5.462 Å, 90.00 90.00 90.00°
Fractional positions:
Ca 0.500 0.500 0.500
Sn 0.000 0.000 0.000
Au 0.500 0.750 0.000
Au 0.750 0.000 0.500
Au 0.000 0.500 0.250
Au 0.250 0.000 0.500
Au 0.500 0.250 0.000
Au 0.000 0.500 0.750



4.
CaSn3Au8 after structural relaxation. Source: Alexandria, functional PBE.

## Properties
ΔE_f: -252 kJ/mol of formula units
Calculated density: 12.76 g/cm3

Cell: 5.683 5.683 9.741 Å, 73.04 73.04 60.00°
Fractional positions:
Ca 0.877 0.877 0.369
Sn 0.369 0.369 0.893
Sn 0.006 0.006 0.982
Sn 0.494 0.494 0.519
Au 0.936 0.438 0.189
Au 0.441 0.938 0.683
Au 0.438 0.438 0.189
Au 0.938 0.938 0.683
Au 0.188 0.188 0.435
Au 0.688 0.688 0.937
Au 0.438 0.936 0.189
Au 0.938 0.441 0.683



5.
Ca6SnAu5 after structural relaxation. Source: Alexandria, functional PBE.

## Properties
ΔE_f: -875 kJ/mol of formula units
Calculated density: 7.49 g/cm3

Cell: 5.141 7.445 9.001 Å, 114.43 106.59 90.00°
Fractional positions:
Ca 0.170 0.424 0.340
Ca 0.170 0.916 0.340
Ca 0.500 0.259 0.000
Ca 0.500 0.741 0.000
Ca 0.830 0.084 0.660
Ca 0.830 0.576 0.660
Au 0.338 0.838 0.676
Au 0.668 0.668 0.335
Au 0.000 0.500 0.000
Au 0.332 0.332 0.665
Au 0.662 0.162 0.324
Sn 0.000 0.000 0.000



6.
CaSnAu4 after structural relaxation. Source: Alexandria, functional PBE.

## Properties
Energy above the lowest structure with this stoichiometry: 82 meV/atom
ΔE_f: -191 kJ/mol of formula units
Calculated density: 11.02 g/cm3

Cell: 3.923 7.055 10.490 Å, 90.00 100.78 90.00°
Fractional positions:
Ca 0.408 0.750 0.816
Ca 0.592 0.250 0.184
Sn 0.099 0.750 0.198
Sn 0.901 0.250 0.802
Au 0.188 0.444 0.376
Au 0.812 0.556 0.624
Au 0.188 0.056 0.376
Au 0.812 0.944 0.624
Au 0.694 0.750 0.387
Au 0.306 0.250 0.613
Au 0.000 0.500 0.000
Au 0.000 0.000 0.000



7.
CaSnAu after structural relaxation. Source: Alexandria, functional PBE.

## Properties
ΔE_f: -176 kJ/mol of formula units
Calculated density: 7.68 g/cm3

Cell: 5.567 4.683 6.401 Å, 111.46 82.78 90.00°
Fractional positions:
Ca 0.699 0.121 0.243
Ca 0.301 0.879 0.757
Sn 0.794 0.417 0.834
Sn 0.206 0.583 0.166
Au 0.822 0.783 0.567
Au 0.178 0.217 0.433



8.
Ca2Sn3Au5 after structural relaxation. Source: Alexandria, functional PBE.

## Properties
ΔE_f: -453 kJ/mol of formula units
Calculated density: 9.81 g/cm3

Cell: 9.234 9.234 9.234 Å, 139.21 99.91 94.06°
Fractional positions:
Ca 0.144 0.872 0.271
Ca 0.601 0.372 0.229
Ca 0.856 0.128 0.729
Ca 0.399 0.628 0.771
Sn 0.758 0.635 0.123
Sn 0.512 0.135 0.377
Sn 0.242 0.365 0.877
Sn 0.488 0.865 0.623
Sn 0.000 0.750 0.750
Sn 0.000 0.250 0.250
Au 0.956 0.612 0.344
Au 0.268 0.112 0.156
Au 0.044 0.388 0.656
Au 0.732 0.888 0.844
Au 0.768 0.518 0.750
Au 0.232 0.482 0.250
Au 0.500 0.250 0.750
Au 0.500 0.750 0.250
Au 0.232 0.982 0.750
Au 0.768 0.018 0.250



9.
CaSnAu after structural relaxation. Source: Alexandria, functional PBE.

## Properties
ΔE_f: -152 kJ/mol of formula units
Calculated density: 7.95 g/cm3

Cell: 3.617 3.617 6.230 Å, 106.87 106.87 90.00°
Fractional positions:
Ca 0.298 0.298 0.596
Au 0.956 0.956 0.912
Sn 0.596 0.596 0.191



10.
CaSnAu after structural relaxation. Source: Alexandria, functional PBE.

## Properties
ΔE_f: -212 kJ/mol of formula units
Calculated density: 8.06 g/cm3

Cell: 4.743 7.488 8.257 Å, 90.00 90.00 90.00°
Fractional positions:
Ca 0.750 0.494 0.204
Ca 0.250 0.506 0.796
Ca 0.250 0.006 0.704
Ca 0.750 0.994 0.296
Au 0.750 0.206 0.913
Au 0.750 0.706 0.587
Au 0.250 0.794 0.087
Au 0.250 0.294 0.413
Sn 0.750 0.309 0.587
Sn 0.250 0.691 0.413
Sn 0.750 0.809 0.913
Sn 0.250 0.191 0.087



11.
CaSnAu after structural relaxation. Source: Alexandria, functional PBE.

## Properties
ΔE_f: -214 kJ/mol of formula units
Calculated density: 8.04 g/cm3

Cell: 4.786 8.241 14.909 Å, 90.00 90.00 90.00°
Fractional positions:
Ca 0.500 0.783 0.748
Ca 0.000 0.292 0.500
Ca 0.500 0.709 0.500
Ca 0.000 0.291 0.000
Ca 0.000 0.217 0.752
Ca 0.000 0.217 0.248
Ca 0.500 0.708 0.000
Ca 0.500 0.783 0.252
Sn 0.000 0.915 0.601
Sn 0.000 0.587 0.852
Sn 0.500 0.413 0.352
Sn 0.000 0.587 0.148
Sn 0.500 0.413 0.648
Sn 0.000 0.915 0.399
Sn 0.500 0.085 0.101
Sn 0.500 0.085 0.899
Au 0.000 0.916 0.111
Au 0.000 0.916 0.889
Au 0.500 0.415 0.851
Au 0.000 0.585 0.351
Au 0.500 0.415 0.149
Au 0.500 0.084 0.389
Au 0.500 0.084 0.611
Au 0.000 0.585 0.649



12.
CaSnAu5 after structural relaxation. Source: Alexandria, functional PBE.

## Properties
ΔE_f: -258 kJ/mol of formula units
Calculated density: 12.75 g/cm3

Cell: 5.694 9.281 11.273 Å, 90.00 90.00 90.00°
Fractional positions:
Ca 0.250 0.250 0.949
Ca 0.750 0.250 0.449
Ca 0.250 0.750 0.551
Ca 0.750 0.750 0.051
Sn 0.250 0.853 0.843
Sn 0.750 0.647 0.343
Sn 0.250 0.353 0.657
Sn 0.750 0.147 0.157
Au 0.250 0.588 0.022
Au 0.750 0.912 0.522
Au 0.250 0.088 0.478
Au 0.750 0.412 0.978
Au 0.750 0.330 0.726
Au 0.250 0.170 0.226
Au 0.750 0.830 0.774
Au 0.250 0.670 0.274
Au 0.250 0.918 0.073
Au 0.750 0.582 0.573
Au 0.250 0.418 0.427
Au 0.750 0.082 0.927
Au 0.993 0.425 0.200
Au 0.007 0.075 0.700
Au 0.507 0.925 0.300
Au 0.493 0.575 0.800
Au 0.007 0.575 0.800
Au 0.993 0.925 0.300
Au 0.493 0.075 0.700
Au 0.507 0.425 0.200